# Mg3Se

A relaxed structure of Mg3Se (GGA-PBE, Alexandria via LeMat-Bulk).

The space group is P6_3/mmc (No. 194) and the conventional cell measures 6.1533, 6.1533 and 5.4015 Å, with angles of 90.00, 90.00 and 120.00 degrees. Symmetry generates all atoms from Mg at (0.1664, 0.3329, 0.2500) and Se at (0.3333, 0.6667, 0.7500).

As for the total energy: -9.08 eV per formula unit. The size of the total moment comes out at 0.00 Bohr magnetons per cell.